Material: K5La3Cl12
Method: DFT, GGA-PBE
State: optimized geometry

Summary:
Calculated volume   33.85 Å³/atom
Mass density   2.55 g/cm³
DFT total energy   -4.0256 eV/atom

a b c (Å): 15.208 15.208 15.208
angles (deg): 109.47 109.47 109.47
Fractional positions:
K 0.000 0.000 0.000
K 0.000 0.000 0.500
K 0.000 0.500 0.000
K 0.000 0.500 0.500
K 0.125 0.750 0.875
K 0.125 0.875 0.250
K 0.250 0.125 0.875
K 0.250 0.625 0.375
K 0.375 0.250 0.625
K 0.375 0.625 0.750
K 0.500 0.000 0.000
K 0.500 0.000 0.500
K 0.500 0.500 0.000
K 0.500 0.500 0.500
K 0.625 0.375 0.250
K 0.625 0.750 0.375
K 0.750 0.375 0.625
K 0.750 0.875 0.125
K 0.875 0.125 0.750
K 0.875 0.250 0.125
La 0.125 0.250 0.375
La 0.125 0.375 0.750
La 0.250 0.375 0.125
La 0.250 0.875 0.625
La 0.375 0.125 0.250
La 0.375 0.750 0.125
La 0.625 0.250 0.875
La 0.625 0.875 0.750
La 0.750 0.125 0.375
La 0.750 0.625 0.875
La 0.875 0.625 0.250
La 0.875 0.750 0.625
Cl 0.063 0.629 0.392
Cl 0.063 0.934 0.671
Cl 0.066 0.237 0.129
Cl 0.066 0.329 0.937
Cl 0.108 0.737 0.671
Cl 0.108 0.871 0.437
Cl 0.129 0.066 0.237
Cl 0.129 0.563 0.892
Cl 0.171 0.237 0.608
Cl 0.171 0.434 0.563
Cl 0.237 0.129 0.066
Cl 0.237 0.608 0.171
Cl 0.263 0.329 0.892
Cl 0.263 0.434 0.371
Cl 0.329 0.892 0.263
Cl 0.329 0.937 0.066
Cl 0.371 0.263 0.434
Cl 0.371 0.608 0.937
Cl 0.392 0.063 0.629
Cl 0.392 0.829 0.763
Cl 0.434 0.371 0.263
Cl 0.434 0.563 0.171
Cl 0.437 0.108 0.871
Cl 0.437 0.829 0.566
Cl 0.563 0.171 0.434
Cl 0.563 0.892 0.129
Cl 0.566 0.437 0.829
Cl 0.566 0.629 0.737
Cl 0.608 0.171 0.237
Cl 0.608 0.937 0.371
Cl 0.629 0.392 0.063
Cl 0.629 0.737 0.566
Cl 0.671 0.063 0.934
Cl 0.671 0.108 0.737
Cl 0.737 0.566 0.629
Cl 0.737 0.671 0.108
Cl 0.763 0.392 0.829
Cl 0.763 0.871 0.934
Cl 0.829 0.566 0.437
Cl 0.829 0.763 0.392
Cl 0.871 0.437 0.108
Cl 0.871 0.934 0.763
Cl 0.892 0.129 0.563
Cl 0.892 0.263 0.329
Cl 0.934 0.671 0.063
Cl 0.934 0.763 0.871
Cl 0.937 0.066 0.329
Cl 0.937 0.371 0.608